[1]
A plane-wave DFT calculation with PBE was carried out for a relaxed structure of AlZnCu2. Values from VASP.

```
&SYSTEM
  ibrav = 0, nat = 4, ntyp = 3
/
ATOMIC_SPECIES
Cu 63.55 Cu.upf
Al 26.98 Al.upf
Zn 65.41 Zn.upf
CELL_PARAMETERS angstrom
4.645 -0.019 0.000
1.714 4.317 0.000
-3.179 -2.149 2.617
ATOMIC_POSITIONS crystal
Cu 0.250 0.750 0.500
Cu 0.000 0.000 0.000
Al 0.750 0.250 0.500
Zn 0.500 0.500 0.000
```

- DOS(E_F) (states/eV per cell) = 1.3
- M_tot (μB/cell) = 0.0
- symmetry = No. 119
- formation enthalpy at 0 K (eV per atom) = -0.126

[2]
A plane-wave DFT calculation with PBE was carried out for a relaxed structure of Fe4IrAu. Values from VASP.

```
&SYSTEM
  ibrav = 0, nat = 6, ntyp = 3
/
ATOMIC_SPECIES
Fe 55.84 Fe.upf
Au 196.97 Au.upf
Ir 192.22 Ir.upf
CELL_PARAMETERS angstrom
0.317 2.408 4.147
2.255 4.242 0.150
-2.523 4.042 0.631
ATOMIC_POSITIONS crystal
Fe 0.875 0.375 0.375
Fe 0.375 0.375 0.375
Fe 0.375 0.375 0.875
Fe 0.375 0.875 0.375
Au 0.000 0.000 0.000
Ir 0.750 0.750 0.750
```

- DOS(E_F) (states/eV per cell) = 4.8
- M_tot (μB/cell) = 10.4
- symmetry = No. 216
- formation enthalpy at 0 K (eV per atom) = 0.104

[3]
A plane-wave DFT calculation with PBE was carried out for a relaxed structure of Mg2Si. Values from VASP.

```
&SYSTEM
  ibrav = 0, nat = 12, ntyp = 2
/
ATOMIC_SPECIES
Mg 24.30 Mg.upf
Si 28.09 Si.upf
CELL_PARAMETERS angstrom
-4.224 -3.209 0.838
3.270 -2.331 4.308
-2.329 7.166 2.940
ATOMIC_POSITIONS crystal
Mg 0.969 0.182 0.373
Mg 0.417 0.335 0.820
Mg 0.959 0.248 0.016
Mg 0.031 0.818 0.627
Mg 0.041 0.752 0.984
Mg 0.500 0.500 0.500
Mg 0.583 0.665 0.180
Mg 0.500 0.000 0.500
Si 0.469 0.152 0.129
Si 0.104 0.659 0.300
Si 0.531 0.848 0.871
Si 0.896 0.341 0.700
```

- DOS(E_F) (states/eV per cell) = 3.6
- M_tot (μB/cell) = 0.0
- symmetry = No. 2
- raw formation energy (eV per formula unit) = 0.1

[4]
A plane-wave DFT calculation with PBE was carried out for a relaxed structure of BeAs2Ru. Values from VASP.

```
&SYSTEM
  ibrav = 0, nat = 4, ntyp = 3
/
ATOMIC_SPECIES
Ru 101.07 Ru.upf
As 74.92 As.upf
Be 9.01 Be.upf
CELL_PARAMETERS angstrom
3.172 0.000 0.000
0.000 3.172 0.000
0.000 0.000 5.774
ATOMIC_POSITIONS crystal
Ru 0.500 0.500 0.750
As 0.000 0.000 0.002
As 0.000 0.000 0.498
Be 0.500 0.500 0.250
```

- DOS(E_F) (states/eV per cell) = 3.4
- M_tot (μB/cell) = 0.0
- symmetry = No. 123
- formation enthalpy at 0 K (eV per atom) = 0.233

> The lowest DOS(E_F) belongs to which entry?

AlZnCu2